# 1
{
  "formula": "Na2ZnGa3Pt4",
  "functional": "PBE-GGA",
  "state": "relaxed",
  "lattice": [[4.124, 0.000, 0.000], [0.000, 4.124, 0.000], [0.000, 0.000, 10.922]],
  "species": ["Na", "Na", "Zn", "Ga", "Ga", "Ga", "Pt", "Pt", "Pt", "Pt"],
  "frac_coords": [[0.000, 0.500, 0.248], [0.500, 0.000, 0.752], [0.000, 0.000, 0.500], [0.000, 0.500, 0.865], [0.500, 0.000, 0.135], [0.500, 0.500, 0.500], [0.000, 0.000, 0.000], [0.000, 0.500, 0.638], [0.500, 0.000, 0.362], [0.500, 0.500, 0.000]],
  "total_energy_ry_per_atom": -0.3148,
  "space_group": "No. 115",
  "formation_energy_mev_per_atom": -568.1
}



# 2
{
  "formula": "Ni3PbC",
  "functional": "PBE-GGA",
  "state": "relaxed",
  "lattice": [[4.739, 0.000, 0.000], [0.000, 4.739, 0.000], [0.000, 0.000, 4.739]],
  "species": ["Ni", "Ni", "Ni", "Pb", "C"],
  "frac_coords": [[0.000, 0.000, 0.500], [0.000, 0.500, 0.000], [0.500, 0.000, 0.000], [0.000, 0.000, 0.000], [0.500, 0.500, 0.500]],
  "total_energy_ry_per_atom": -0.2573,
  "space_group": "No. 221",
  "formation_energy_mev_per_atom": 2554.8,
  "relative_energy_mev_per_atom": 2331
}



# 3
{
  "formula": "SiSb2Ru",
  "functional": "PBE-GGA",
  "state": "relaxed",
  "lattice": [[-1.566, 2.230, 5.952], [1.566, -2.230, 5.952], [1.566, 2.230, -5.952]],
  "species": ["Si", "Sb", "Sb", "Ru"],
  "frac_coords": [[0.000, 0.000, 0.000], [0.380, 0.380, 0.000], [0.688, 0.188, 0.500], [0.159, 0.659, 0.500]],
  "total_energy_ry_per_atom": -0.4050,
  "space_group": "No. 44"
}



# 4
{
  "formula": "Rb2Pm2TiO6",
  "functional": "PBE-GGA",
  "state": "relaxed",
  "lattice": [[2.976, -5.092, 0.000], [2.976, 5.092, 0.000], [-1.767, 0.000, 6.666]],
  "species": ["Rb", "Rb", "Pm", "Pm", "Ti", "O", "O", "O", "O", "O", "O"],
  "frac_coords": [[0.162, 0.838, 0.000], [0.838, 0.162, 0.000], [0.335, 0.665, 0.500], [0.665, 0.335, 0.500], [0.000, 0.000, 0.500], [0.045, 0.343, 0.662], [0.236, 0.236, 0.336], [0.343, 0.045, 0.662], [0.657, 0.955, 0.338], [0.764, 0.764, 0.664], [0.955, 0.657, 0.338]],
  "total_energy_ry_per_atom": -0.5269,
  "space_group": "No. 12"
}



# 5
{
  "formula": "NaPdCl",
  "functional": "PBE-GGA",
  "state": "relaxed",
  "lattice": [[8.841, 0.000, 0.000], [0.000, 3.685, 0.000], [0.000, 0.000, 8.123]],
  "species": ["Na", "Na", "Na", "Na", "Pd", "Pd", "Pd", "Pd", "Cl", "Cl", "Cl", "Cl"],
  "frac_coords": [[0.211, 0.250, 0.030], [0.289, 0.750, 0.530], [0.711, 0.250, 0.470], [0.789, 0.750, 0.970], [0.024, 0.250, 0.611], [0.476, 0.750, 0.111], [0.524, 0.250, 0.889], [0.976, 0.750, 0.389], [0.070, 0.750, 0.813], [0.430, 0.250, 0.313], [0.570, 0.750, 0.687], [0.930, 0.250, 0.187]],
  "total_energy_ry_per_atom": -0.2577,
  "space_group": "No. 62",
  "relative_energy_mev_per_atom": 58
}



# 6
{
  "formula": "Mn2HgSb",
  "functional": "PBE-GGA",
  "state": "relaxed",
  "lattice": [[1.566, 0.904, 9.629], [-1.566, 0.904, 9.629], [0.000, -1.809, 9.629]],
  "species": ["Mn", "Mn", "Hg", "Sb"],
  "frac_coords": [[0.000, 0.000, 0.000], [0.264, 0.264, 0.264], [0.517, 0.517, 0.517], [0.741, 0.741, 0.741]],
  "total_energy_ry_per_atom": -0.3888,
  "space_group": "No. 160",
  "relative_energy_mev_per_atom": 155
}



> Which formula does entry 3 have?

SiSb2Ru



> What is the formula in the first record?

Na2ZnGa3Pt4



> Number 6 is which compound?

Mn2HgSb